(1)
This record from the Alexandria database describes a geometry-optimized HfScGaPd structure. The functional is PBE.

As for the total magnetic moment: 0.000 μB per atom. The formation energy is -0.586 eV/atom.

It has space group F-43m (No. 216), with a = 6.677 Å, b = 6.677 Å, c = 6.677 Å, α = 90.00°, β = 90.00° and γ = 90.00°. The distinct sites, in fractional coordinates, are Hf at (0.000, 0.000, 0.000), Sc at (0.000, 0.000, 0.500), Ga at (0.250, 0.250, 0.250) and Pd at (0.250, 0.250, 0.750).

=====

(2)
This record from the Alexandria database describes a geometry-optimized SmHoPd6 structure. The functional is PBE.

As for the total magnetic moment: 0.000 μB per atom. The formation energy is -0.845 eV/atom.

It has space group P4/mmm (No. 123), with a = 4.147 Å, b = 4.147 Å, c = 8.274 Å, α = 90.00°, β = 90.00° and γ = 90.00°. The distinct sites, in fractional coordinates, are Sm at (0.000, 0.000, 0.000), Ho at (0.000, 0.000, 0.500), Pd at (0.000, 0.500, 0.255), Pd at (0.500, 0.500, 0.000) and Pd at (0.500, 0.500, 0.500).

=====

(3)
This record from the Alexandria database describes a geometry-optimized Li2CePm structure. The functional is PBE.

As for the total magnetic moment: 0.255 μB per atom. The formation energy is 0.243 eV/atom.

It has space group P4/mmm (No. 123), with a = 3.254 Å, b = 3.254 Å, c = 9.949 Å, α = 90.00°, β = 90.00° and γ = 90.00°. The distinct sites, in fractional coordinates, are Li at (0.000, 0.000, 0.250), Ce at (0.500, 0.500, 0.000) and Pm at (0.500, 0.500, 0.500).

=====

(4)
This record from the Alexandria database describes a geometry-optimized SbI2O8 structure. The functional is PBE.

As for the total magnetic moment: 0.098 μB per atom. The energy relative to the elements, uncorrected comes out at -375 kJ/mol of formula units.

It has space group C2/m (No. 12), with a = 9.704 Å, b = 7.276 Å, c = 4.808 Å, α = 90.00°, β = 106.23° and γ = 90.00°. The distinct sites, in fractional coordinates, are Sb at (0.000, 0.000, 0.000), I at (0.202, 0.500, 0.539), O at (0.091, 0.500, 0.780), O at (0.095, 0.000, 0.698) and O at (0.161, 0.178, 0.246).

=====

(5)
This record from the Alexandria database describes a geometry-optimized LaPu2Pd3 structure. The functional is PBE.

As for the total magnetic moment: 1.918 μB per atom. The formation energy is -0.514 eV/atom.

It has space group P4/mmm (No. 123), with a = 3.567 Å, b = 3.567 Å, c = 10.755 Å, α = 90.00°, β = 90.00° and γ = 90.00°. The distinct sites, in fractional coordinates, are La at (0.000, 0.000, 0.000), Pu at (0.000, 0.000, 0.340), Pd at (0.500, 0.500, 0.176) and Pd at (0.500, 0.500, 0.500).

=====

(6)
This record from the Alexandria database describes a geometry-optimized Sm2BeCo5B2 structure. The functional is PBE.

As for the total magnetic moment: 0.001 μB per atom. The formation energy is -0.132 eV/atom.

It has space group P4/mbm (No. 127), with a = 9.040 Å, b = 9.040 Å, c = 3.033 Å, α = 90.00°, β = 90.00° and γ = 90.00°. The distinct sites, in fractional coordinates, are Sm at (0.178, 0.322, 0.000), Be at (0.000, 0.000, 0.000), Co at (0.000, 0.500, 0.500), Co at (0.067, 0.776, 0.500) and B at (0.119, 0.619, 0.000).